The following is a GGA-PBE calculation of an optimized crystal structure of CaTe2Se, from Alexandria via LeMat-Bulk.

a = 9.569 Å, b = 9.569 Å, c = 9.569 Å
α = 25.90°, β = 25.90°, γ = 25.90°
Atoms (fractional coordinates):
Te1 0.904 0.904 0.904
Te2 0.096 0.096 0.096
Ca1 0.500 0.500 0.500
Se1 0.000 0.000 0.000

Properties
- E_form (uncorrected): -0.3992 eV/atom
- Density: 4.22 Mg/m³

---

The following is a GGA-PBE calculation of an optimized crystal structure of ScRu3, from Alexandria via LeMat-Bulk.

a = 2.815 Å, b = 3.821 Å, c = 5.722 Å
α = 90.00°, β = 90.00°, γ = 90.00°
Atoms (fractional coordinates):
Sc1 0.500 0.500 0.250
Ru1 0.000 0.000 0.978
Ru2 0.500 0.500 0.750
Ru3 0.000 0.000 0.522

Properties
- Density: 9.39 Mg/m³
- Raw total energy: -8.556 eV/atom

---

The following is a GGA-PBE calculation of an optimized crystal structure of HoTm4Th, from Alexandria via LeMat-Bulk.

a = 6.472 Å, b = 6.472 Å, c = 6.472 Å
α = 60.00°, β = 60.00°, γ = 60.00°
Each line ends with the local moment (μB).
Atoms (fractional coordinates):
Ho1 0.000 0.000 0.000  0.34
Tm1 0.625 0.625 0.625  0.19
Tm2 0.625 0.126 0.625  0.19
Th1 0.250 0.250 0.250  0.34
Tm3 0.126 0.625 0.625  0.19
Tm4 0.625 0.625 0.126  0.19

Properties
- Energy above the lowest structure with this stoichiometry: 326 meV/atom
- Density: 9.29 Mg/m³

---

| no. | Fermi-level density of states (states/eV per cell) |
| --- | --- |
| 1 | 2.56 |
| 2 | 5.55 |
| 3 | 14.15 |